CePr2Sb after structural relaxation, computed with PBE.

Geometry as extended XYZ:
```
4
Lattice="4.110 0.000 0.000 0.000 4.110 0.000 0.000 0.000 7.307" Properties=species:S:1:pos:R:3 pbc="T T T"
Ce 0.000 0.000 0.000
Pr 2.055 2.055 2.016
Pr 2.055 2.055 5.291
Sb 0.000 0.000 3.653
```

Values from the calculation:
ΔE to the lowest computed polymorph   71 meV per atom
E_form (uncorrected)   -0.449 eV per atom
Total magnetic moment   0.8 μB/cell